[1]
Compound: Na2CdHgO
Source: Alexandria via LeMat-Bulk
Functional: PBE-GGA
Structure: optimized geometry

Unit cell a=4.640 b=4.640 c=4.813 alpha=90.00 beta=90.00 gamma=90.00
Element x y z (fractional)
Na: 0.000 0.500 0.000
Na: 0.500 0.000 0.000
Hg: 0.500 0.500 0.500
O: 0.000 0.000 0.000
Cd: 0.000 0.000 0.500

Output
Uncorrected formation energy in eV per atom: -0.624
ρ in Mg/m³: 6.0
SG: P4/mmm
Total DFT energy (no corrections) in eV/atom: -2.3862


[2]
Compound: Dy2Er6TmSc3
Source: Alexandria via LeMat-Bulk
Functional: PBE-GGA
Structure: optimized geometry

Unit cell a=5.991 b=5.991 c=11.394 alpha=95.02 beta=95.02 gamma=119.95
Element x y z (fractional)
Dy: 0.333 0.667 0.000
Dy: 0.667 0.333 0.000
Er: 0.914 0.581 0.742
Er: 0.753 0.753 0.258
Er: 0.086 0.419 0.258
Er: 0.581 0.914 0.742
Er: 0.247 0.247 0.742
Er: 0.419 0.086 0.258
Tm: 0.000 0.000 0.000
Sc: 0.167 0.833 0.500
Sc: 0.833 0.167 0.500
Sc: 0.500 0.500 0.500

Output
ρ in Mg/m³: 7.8
SG: C2/m
Total DFT energy (no corrections) in eV/atom: -4.9606